1.
SiPb2 (PBEsol, relaxed); M_tot = 0.00 μB per cell; symmetry = Immm, No. 71; raw total energy = -4.28 eV/atom; V = 75.7 Å³/f.u.; Fermi-level density of states = 0.508 states/eV/atom; ΔE_f (raw) = 0.305 eV per atom; crystal system = orthorhombic
1.0
-0.080 -3.093 -1.369
1.610 1.350 -3.145
4.582 -0.263 4.509
Si Pb
1 2
Direct
0.000 0.000 0.000
0.643 0.643 0.286
0.357 0.357 0.714

***

2.
Si2Pb (PBEsol, relaxed); M_tot = 0.00 μB per cell; symmetry = Cmcm, No. 63; raw total energy = -4.83 eV/atom; energy above the lowest structure with this stoichiometry = 0.0 meV per atom; V = 64.0 Å³/f.u.; Fermi-level density of states = 0.421 states/eV/atom; ΔE_f (raw) = 0.339 eV per atom; crystal system = orthorhombic
1.0
3.781 0.000 0.000
0.000 5.412 0.000
-1.890 0.000 6.255
Si Pb
4 2
Direct
0.014 0.250 0.029
0.630 0.250 0.259
0.370 0.750 0.741
0.986 0.750 0.971
0.319 0.250 0.637
0.681 0.750 0.363

***

3.
Si2Pb (PBEsol, relaxed); M_tot = 0.00 μB per cell; symmetry = Fm-3m, No. 225; raw total energy = -4.25 eV/atom; energy above the lowest structure with this stoichiometry = 576.6 meV per atom; V = 74.6 Å³/f.u.; Fermi-level density of states = 0.702 states/eV/atom; ΔE_f (raw) = 0.915 eV per atom; crystal system = cubic
1.0
4.726 0.000 0.000
2.363 4.092 0.000
2.363 1.364 3.858
Si Pb
2 1
Direct
0.250 0.250 0.250
0.750 0.750 0.750
0.000 0.000 0.000

***

4.
Si2Pb (PBEsol, relaxed); M_tot = 0.00 μB per cell; symmetry = P6_3/mmc, No. 194; raw total energy = -4.50 eV/atom; energy above the lowest structure with this stoichiometry = 326.0 meV per atom; V = 61.6 Å³/f.u.; Fermi-level density of states = 0.516 states/eV/atom; ΔE_f (raw) = 0.665 eV per atom; crystal system = hexagonal
1.0
5.020 0.000 0.000
-2.510 4.347 0.000
0.000 0.000 5.647
Si Pb
4 2
Direct
0.333 0.667 0.750
0.000 0.000 0.500
0.000 0.000 0.000
0.667 0.333 0.250
0.667 0.333 0.750
0.333 0.667 0.250